TbDy3Au3 | PBE-GGA | optimized geometry

Electronic total energy ... -4.691 eV per atom
SG ... No. 12
Formation energy from the elements ... -0.65 eV per atom

abc: 7.2071 7.2071 7.0937
angles: 96.04 96.04 88.03
Last column: nearest neighbours and their distance in Å.
Fractional positions:
Tb 0.2407 0.2407 0.4794  4 Au 2.82-3.11
Tb 0.7593 0.7593 0.5206  4 Au 2.82-3.11
Dy 0.1944 0.8056 0.0000  4 Au 2.90-2.98
Dy 0.2734 0.7266 0.5000  4 Au 2.94-3.13
Dy 0.3108 0.3108 0.0107  5 Au 3.02-3.23
Dy 0.6892 0.6892 0.9893  5 Au 3.02-3.23
Dy 0.7266 0.2734 0.5000  4 Au 2.94-3.13
Dy 0.8056 0.1944 0.0000  4 Au 2.90-2.98
Au 0.0004 0.4890 0.7650  5 Dy 2.94-3.27, 2 Tb 3.11-3.17, 1 Au 3.20
Au 0.9996 0.5110 0.2350  5 Dy 2.94-3.27, 2 Tb 3.11-3.17, 1 Au 3.20
Au 0.0430 0.0430 0.7125  2 Tb 2.82-3.05, 4 Dy 2.90-3.13, 1 Au 3.02
Au 0.4890 0.0004 0.7650  5 Dy 2.94-3.27, 2 Tb 3.11-3.17, 1 Au 3.20
Au 0.5110 0.9996 0.2350  5 Dy 2.94-3.27, 2 Tb 3.11-3.17, 1 Au 3.20
Au 0.9570 0.9570 0.2875  2 Tb 2.82-3.05, 4 Dy 2.90-3.13, 1 Au 3.02

=====

NbAs2AuBr | PBE-GGA | optimized geometry

ΔE_f (raw) ... 2.0 eV per formula unit
Electronic total energy ... -4.466 eV per atom
SG ... No. 123
Relative energy among the computed polymorphs ... 0.0000 eV per atom

abc: 5.0566 5.0566 5.0552
angles: 90.00 90.00 90.00
Last column: nearest neighbours and their distance in Å.
Fractional positions:
Nb 0.0000 0.0000 0.0000  2 Br 2.53, 4 As 2.53
As 0.0000 0.5000 0.0000  2 Nb 2.53
As 0.5000 0.0000 0.0000  2 Nb 2.53
Au 0.5000 0.5000 0.5000  8 As 3.58, 4 Br 3.58
Br 0.0000 0.0000 0.5000  2 Nb 2.53

=====

CsUAg2F8 | PBE-GGA | optimized geometry

ΔE_f (raw) ... -29.2 eV per formula unit
Electronic total energy ... -5.165 eV per atom
SG ... No. 164

abc: 5.6592 5.6592 9.8544
angles: 90.00 90.00 120.00
Last column: nearest neighbours and their distance in Å.
Fractional positions:
Cs 0.0000 0.0000 0.0000  6 F 3.34
U 0.0000 0.0000 0.5000  6 F 2.08
Ag 0.3333 0.6667 0.2816  1 F 2.09
Ag 0.6667 0.3333 0.7184  1 F 2.09
F 0.1694 0.3387 0.6275  1 U 2.08
F 0.1694 0.8306 0.6275  1 U 2.08
F 0.3333 0.6667 0.0693  1 Ag 2.09
F 0.3387 0.1694 0.3725  1 U 2.08
F 0.6613 0.8306 0.6275  1 U 2.08
F 0.6667 0.3333 0.9307  1 Ag 2.09
F 0.8306 0.1694 0.3725  1 U 2.08
F 0.8306 0.6613 0.3725  1 U 2.08

=====

LaTa2P | PBE-GGA | optimized geometry

Electronic total energy ... -8.193 eV per atom
SG ... No. 216
Formation energy from the elements ... 0.32 eV per atom

abc: 4.8537 4.8537 4.8537
angles: 60.00 60.00 60.00
Last column: nearest neighbours and their distance in Å.
Fractional positions:
La 0.0000 0.0000 0.0000  4 Ta 2.97, 4 P 2.97
Ta 0.5000 0.5000 0.5000  4 Ta 2.97, 4 P 2.97
Ta 0.7500 0.7500 0.7500  4 Ta 2.97, 4 La 2.97
P 0.2500 0.2500 0.2500  4 Ta 2.97, 4 La 2.97

=====

Tb2PrSb | PBE-GGA | optimized geometry

ΔE_f (raw) ... -2.0 eV per formula unit
Electronic total energy ... -5.050 eV per atom
SG ... No. 123
Relative energy among the computed polymorphs ... 0.0591 eV per atom

abc: 4.8841 4.8841 4.8154
angles: 90.00 90.00 90.00
Last column: nearest neighbours and their distance in Å.
Fractional positions:
Tb 0.0000 0.5000 0.0000  4 Sb 3.43, 4 Pr 3.43, 4 Tb 3.45
Tb 0.5000 0.0000 0.0000  4 Sb 3.43, 4 Pr 3.43, 4 Tb 3.45
Pr 0.0000 0.0000 0.5000  8 Tb 3.43, 4 Sb 3.45
Sb 0.5000 0.5000 0.5000  8 Tb 3.43, 4 Pr 3.45

=====

AcPm7Dy2 | PBE-GGA | optimized geometry

Electronic total energy ... -4.033 eV per atom
SG ... No. 65
Relative energy among the computed polymorphs ... 0.4396 eV per atom
Formation energy from the elements ... 0.62 eV per atom

abc: 9.2124 9.2124 5.8360
angles: 90.00 90.00 121.72
Last column: nearest neighbours and their distance in Å.
Fractional positions:
Ac 0.0000 0.0000 0.0000  10 Pm 3.78-3.85
Pm 0.0604 0.2993 0.5000  2 Dy 3.17-3.29, 2 Pm 3.23-3.46
Pm 0.2351 0.7649 0.0000  2 Dy 3.08
Pm 0.2993 0.0604 0.5000  2 Dy 3.17-3.29, 2 Pm 3.23-3.46
Pm 0.5000 0.5000 0.5000  2 Dy 3.26, 4 Pm 3.46
Pm 0.7007 0.9396 0.5000  2 Dy 3.17-3.29, 2 Pm 3.23-3.46
Pm 0.7649 0.2351 0.0000  2 Dy 3.08
Pm 0.9396 0.7007 0.5000  2 Dy 3.17-3.29, 2 Pm 3.23-3.46
Dy 0.2973 0.7027 0.5000  7 Pm 3.08-3.29
Dy 0.7027 0.2973 0.5000  7 Pm 3.08-3.29

=====

ErZnCo2H8 | PBE-GGA | optimized geometry

Electronic total energy ... -3.800 eV per atom
SG ... No. 164

abc: 4.5681 4.5681 6.0555
angles: 90.00 90.00 120.00
Last column: nearest neighbours and their distance in Å.
Fractional positions:
Er 0.0000 0.0000 0.0000  6 H 2.09
Zn 0.0000 0.0000 0.5000  6 H 1.74
Co 0.3333 0.6667 0.3337  4 H 1.49-1.54
Co 0.6667 0.3333 0.6663  4 H 1.49-1.54
H 0.1481 0.2963 0.2865  1 Co 1.49
H 0.1481 0.8519 0.2865  1 Co 1.49
H 0.2963 0.1481 0.7135  1 Co 1.49
H 0.3333 0.6667 0.0793  1 Co 1.54
H 0.6667 0.3333 0.9207  1 Co 1.54
H 0.7037 0.8519 0.2865  1 Co 1.49
H 0.8519 0.1481 0.7135  1 Co 1.49
H 0.8519 0.7037 0.7135  1 Co 1.49

=====

Ta2Cd2Cl | PBE-GGA | optimized geometry

ΔE_f (raw) ... 4.7 eV per formula unit
Electronic total energy ... -4.543 eV per atom
SG ... No. 139
Relative energy among the computed polymorphs ... 0.5777 eV per atom

abc: 7.5509 7.5509 7.5509
angles: 150.15 150.15 42.72
Last column: nearest neighbours and their distance in Å.
Fractional positions:
Ta 0.0892 0.0892 0.0000  1 Ta 2.51
Ta 0.9108 0.9108 0.0000  1 Ta 2.51
Cd 0.2500 0.7500 0.5000  4 Cd 2.75, 4 Ta 2.98
Cd 0.7500 0.2500 0.5000  4 Cd 2.75, 4 Ta 2.98
Cl 0.5000 0.5000 0.0000  8 Ta 3.02

=====

Cd2InOsBr | PBE-GGA | optimized geometry

ΔE_f (raw) ... 3.1 eV per formula unit
Electronic total energy ... -2.869 eV per atom
SG ... No. 123

abc: 5.3666 5.3666 4.9270
angles: 90.00 90.00 90.00
Last column: nearest neighbours and their distance in Å.
Fractional positions:
Cd 0.0000 0.5000 0.0000  2 Os 2.68
Cd 0.5000 0.0000 0.0000  2 Os 2.68
In 0.0000 0.0000 0.5000  8 Cd 3.64, 4 Br 3.79
Os 0.5000 0.5000 0.0000  2 Br 2.46, 4 Cd 2.68
Br 0.5000 0.5000 0.5000  2 Os 2.46

=====

Cr2CuSb | PBE-GGA | optimized geometry

ΔE_f (raw) ... 1.6 eV per formula unit
Electronic total energy ... -6.455 eV per atom
SG ... No. 12

abc: 4.6473 4.6473 4.4344
angles: 104.59 104.59 40.28
Last column: nearest neighbours and their distance in Å.
Fractional positions:
Cr 0.2432 0.2432 0.1762  2 Cr 2.26
Cr 0.7568 0.7568 0.8238  2 Cr 2.26
Cu 0.5000 0.5000 0.0000  6 Cr 2.56-2.60, 4 Sb 2.73
Sb 0.0000 0.0000 0.5000  4 Cu 2.73, 6 Cr 2.81-2.86

=====

Nd8Ir3CI3 | PBE-GGA | optimized geometry

ΔE_f (raw) ... -10.7 eV per formula unit
Electronic total energy ... -5.956 eV per atom
SG ... No. 12

abc: 8.3077 8.3077 9.4102
angles: 116.23 116.23 60.01
Last column: nearest neighbours and their distance in Å.
Fractional positions:
Nd 0.2145 0.2145 0.6733  1 C 2.65, 2 Ir 2.84
Nd 0.2143 0.7443 0.6731  1 C 2.66, 2 Ir 2.84
Nd 0.2557 0.7857 0.3269  1 C 2.66, 2 Ir 2.84
Nd 0.2707 0.2707 0.3124  3 Ir 2.84
Nd 0.7293 0.7293 0.6876  3 Ir 2.84
Nd 0.7443 0.2143 0.6731  1 C 2.66, 2 Ir 2.84
Nd 0.7857 0.2557 0.3269  1 C 2.66, 2 Ir 2.84
Nd 0.7855 0.7855 0.3267  1 C 2.65, 2 Ir 2.84
Ir 0.0000 0.5000 0.5000  6 Nd 2.84
Ir 0.5000 0.0000 0.5000  6 Nd 2.84
Ir 0.5000 0.5000 0.5000  6 Nd 2.84
C 0.0000 0.0000 0.5000  6 Nd 2.65-2.66
I 0.0000 0.0000 0.0000  6 Nd 3.48-3.53
I 0.0000 0.5000 0.0000  6 Nd 3.49-3.52
I 0.5000 0.0000 0.0000  6 Nd 3.49-3.52

=====

Pr5BiP6 | PBE-GGA | optimized geometry

Electronic total energy ... -6.226 eV per atom
SG ... No. 12
Formation energy from the elements ... -1.21 eV per atom

abc: 7.2829 7.2829 7.2770
angles: 99.60 99.60 120.00
Last column: nearest neighbours and their distance in Å.
Fractional positions:
Pr 0.0000 0.0000 0.0000  6 P 2.95-2.98
Pr 0.1670 0.8330 0.5000  6 P 2.96-2.98
Pr 0.3337 0.6663 0.0000  6 P 2.96-2.98
Pr 0.6663 0.3337 0.0000  6 P 2.96-2.98
Pr 0.8330 0.1670 0.5000  6 P 2.96-2.98
Bi 0.5000 0.5000 0.5000  6 P 2.99-3.00
P 0.0812 0.4167 0.2499  5 Pr 2.96-2.98, 1 Bi 2.99
P 0.2486 0.2486 0.7525  5 Pr 2.95-2.98, 1 Bi 3.00
P 0.4167 0.0812 0.2499  5 Pr 2.96-2.98, 1 Bi 2.99
P 0.5833 0.9188 0.7501  5 Pr 2.96-2.98, 1 Bi 2.99
P 0.7514 0.7514 0.2475  5 Pr 2.95-2.98, 1 Bi 3.00
P 0.9188 0.5833 0.7501  5 Pr 2.96-2.98, 1 Bi 2.99

=====

Nd2NiHRh6 | PBE-GGA | optimized geometry

Electronic total energy ... -6.602 eV per atom
SG ... No. 166

abc: 6.8143 6.8143 6.8143
angles: 48.51 48.51 48.51
Last column: nearest neighbours and their distance in Å.
Fractional positions:
Nd 0.2162 0.2162 0.2162  9 Rh 3.00-3.31, 3 Ni 3.35
Nd 0.7838 0.7838 0.7838  9 Rh 3.00-3.31, 3 Ni 3.35
Ni 0.5000 0.5000 0.5000  6 Rh 2.50
H 0.0000 0.0000 0.0000  6 Rh 1.98
Rh 0.2314 0.2314 0.7111  1 H 1.98
Rh 0.2314 0.7111 0.2314  1 H 1.98
Rh 0.2889 0.7686 0.7686  1 H 1.98
Rh 0.7111 0.2314 0.2314  1 H 1.98
Rh 0.7686 0.2889 0.7686  1 H 1.98
Rh 0.7686 0.7686 0.2889  1 H 1.98